(1)
An optimized crystal structure of LiVSiO4, computed with GGA-PBEsol.

**Total magnetization**: 8.0 μB per cell
**Raw formation energy**: -2465 meV per atom

Geometry as extended XYZ:
```
28
Lattice="5.6454 0.0000 0.0000 0.0000 5.6455 0.0000 0.0000 0.0000 7.9251" Properties=species:S:1:pos:R:3 pbc="T T T"
V 4.2559 2.8228 1.9813
V 2.8227 1.3895 3.9626
V 1.3895 2.8228 5.9439
V 2.8227 4.2560 0.0000
O 2.8862 1.4479 5.9524
O 5.6075 4.1798 5.8632
O 4.1798 0.0378 7.8442
O 0.0379 1.4658 1.9006
O 1.4656 5.6077 3.8816
O 1.4656 0.0378 0.0810
O 1.4479 2.8863 3.9540
O 2.7592 4.1976 1.9899
O 4.1976 2.7592 7.9166
O 5.6075 1.4658 6.0246
O 2.8862 4.1976 5.9353
O 2.7592 1.4479 1.9727
O 4.1798 5.6077 4.0436
O 0.0379 4.1798 2.0620
O 4.1976 2.8863 3.9711
O 1.4478 2.7592 0.0085
Li 1.2749 0.0000 5.9439
Li 0.0000 4.3705 0.0000
Li 0.0000 1.2750 3.9626
Li 4.3705 0.0000 1.9813
Si 4.2462 1.3993 6.9344
Si 1.3992 1.3993 0.9907
Si 1.3992 4.2462 2.9718
Si 4.2462 4.2462 4.9533
```



(2)
An optimized crystal structure of LiVSiO4, computed with GGA-PBEsol.

**Total magnetization**: 8.0 μB per cell
**Raw formation energy**: -2347 meV per atom

Geometry as extended XYZ:
```
28
Lattice="-2.1088 -1.2371 -4.3464 4.5325 -4.8839 -0.8090 -6.2334 -6.5970 4.9020" Properties=species:S:1:pos:R:3 pbc="T T T"
O -4.5609 -6.9962 3.7865
O -1.9173 -7.2075 2.3214
O 1.4978 -5.2838 -2.5012
O -0.1076 -9.1289 1.9141
O -3.7794 -5.8300 -0.4524
O -3.1904 -3.2890 -1.1132
O -6.2836 -6.4907 1.3750
O 0.2247 -6.7384 0.7243
O -0.7525 -2.4348 -2.8873
O -1.7859 -8.4023 -0.0204
O -1.2772 -3.8776 1.3057
O -2.8023 -10.1336 3.1592
O -1.3246 -5.1774 -1.4048
O 1.2464 -3.9311 -0.2223
O 3.0417 -5.8942 -0.4584
O -4.5445 -8.4867 1.0232
V -1.2397 -10.6245 2.2159
V -3.5204 -7.7004 -0.3706
V -0.2739 -5.0085 0.1488
V -2.5545 -2.0844 -2.4377
Si -0.8718 -7.8485 1.2271
Si -6.1347 -8.0807 0.9858
Si -2.9374 -4.8691 -1.4795
Si 2.3256 -4.6370 -1.2383
Li -2.6548 -2.6123 0.6416
Li -1.1250 -10.0881 -0.8336
Li -3.5467 -8.3080 2.6955
Li -0.2331 -4.3924 -2.8875
```



(3)
An optimized crystal structure of Li5VSi2O8, computed with GGA-PBEsol.

**Total magnetization**: 2.0 μB per cell
**Raw formation energy**: -2400 meV per atom

Geometry as extended XYZ:
```
16
Lattice="5.1938 -0.0031 -0.0076 -0.1318 5.1921 -0.0076 -0.0541 -0.0554 6.2221" Properties=species:S:1:pos:R:3 pbc="T T T"
Li 4.1617 4.1103 4.5789
Li 1.4873 3.6126 -0.0076
Li 1.0019 0.8713 1.6279
Li 3.4156 1.6774 3.1034
Li 1.5366 3.5104 3.1034
O 0.8878 4.4256 4.6619
O 4.0144 0.6970 1.4935
O 3.4910 3.5904 2.8826
O 0.6057 4.1363 1.5450
O 3.5163 3.5744 0.1813
O 1.5051 1.5546 3.3243
O 1.5217 1.5297 6.0256
O 4.4105 1.1031 4.7134
Si 0.8886 0.8408 4.6287
Si 4.1893 4.2243 1.5782
V 3.4837 1.6651 -0.0076
```



(4)
An optimized crystal structure of Li2VSi4O10, computed with GGA-PBEsol.

**Total magnetization**: 6.0 μB per cell
**Raw formation energy**: -2502 meV per atom

Geometry as extended XYZ:
```
34
Lattice="-6.7240 0.2964 0.7696 2.9500 -6.8534 -0.1920 3.3941 2.6419 8.4133" Properties=species:S:1:pos:R:3 pbc="T T T"
O -1.3387 1.1430 6.5592
O 1.1608 -2.7100 1.2777
O -4.3838 -0.2749 3.1896
O -1.5406 -1.2050 7.7133
O -1.1687 -3.5177 1.8706
O -1.6272 2.3449 8.9605
O -2.8611 -2.8826 3.9438
O -0.9098 -1.0207 5.0757
O 0.1509 -3.4767 6.7590
O 2.4812 -1.0325 5.0471
O 0.7889 -0.3974 7.1203
O 0.9589 -5.0580 2.4317
O -0.5307 -0.4383 2.2319
O 0.5300 -2.8943 3.9152
O 3.0867 0.6711 7.1523
O 2.7365 -1.9894 7.5271
O 1.2473 -6.2600 0.0305
O 4.0040 -3.6401 5.8014
O -3.1163 -1.9257 1.4638
O -3.4665 -4.5862 1.8387
Si -2.6895 -3.2416 2.3962
Si 2.3096 -0.6735 6.5947
Si -0.7448 -0.3788 6.5549
Si 1.9917 -5.8701 1.4637
Si -4.5369 -1.1514 1.8640
Si -2.3715 1.9551 7.5273
Si 0.3649 -3.5362 2.4360
Si 4.1570 -2.7637 7.1270
Li -2.8771 -0.7729 4.3325
Li 0.9584 -2.4780 8.3564
Li 2.4973 -3.1422 4.6584
Li -1.3382 -1.4370 0.6346
V -1.1911 -3.0841 5.2689
V 0.8113 -0.8310 3.7220
```



(5)
An optimized crystal structure of Li2Si2WO7, computed with GGA-PBEsol.

**Total magnetization**: 4.0 μB per cell
**Raw formation energy**: -2305 meV per atom

Geometry as extended XYZ:
```
24
Lattice="5.3284 -0.0271 -0.0181 0.5174 6.0312 -0.0585 0.4071 2.7726 8.1229" Properties=species:S:1:pos:R:3 pbc="T T T"
O 1.9126 2.7292 6.8365
O 5.6908 7.1035 6.4455
O 2.9281 6.3072 6.1815
O 0.5621 1.6731 1.6009
O 4.7141 6.4103 3.9137
O 5.1962 4.0665 2.7480
O 1.0566 4.7102 5.2983
O 2.6236 5.0755 2.8623
O 1.5953 4.2880 0.5187
O 3.6292 3.7012 5.1841
O 4.6576 4.4886 7.5277
O 1.5387 2.3664 4.1326
O 3.3247 2.4695 1.8649
O 4.3403 6.0475 1.2098
Si 4.3669 1.5730 1.0064
Si 4.2348 5.3630 2.7352
Si 2.0181 3.4137 5.3112
Si 1.8859 7.2036 7.0400
W 4.6442 5.4520 5.7801
W 1.6087 3.3246 2.2663
Li 2.1514 6.1056 1.1358
Li 1.7976 6.3340 4.2419
Li 4.4552 2.4427 3.8045
Li 4.1015 2.6710 6.9106
```



(6)
An optimized crystal structure of Li2ZnSiO, computed with GGA-PBEsol.

**Total magnetization**: 0.0 μB per cell
**Raw formation energy**: 39 meV per atom

Geometry as extended XYZ:
```
5
Lattice="-2.4642 0.2745 2.3220 -3.5536 -1.0553 -3.6465 0.4267 -5.0743 1.0526" Properties=species:S:1:pos:R:3 pbc="T T T"
Li 0.2134 -2.5371 0.5263
Li -1.7768 -0.5276 -1.8232
O -1.2321 0.1372 1.1610
Si -2.7955 -2.9275 -0.1359
Zn 0.0000 0.0000 0.0000
```



(7)
An optimized crystal structure of Li2ZnSiO4, computed with GGA-PBEsol.

**Total magnetization**: 0.0 μB per cell
**Raw formation energy**: -2310 meV per atom

Geometry as extended XYZ:
```
32
Lattice="5.0294 0.0001 0.0000 -0.0645 6.2552 0.0000 0.0000 0.0000 10.6144" Properties=species:S:1:pos:R:3 pbc="T T T"
Li 4.0418 3.0868 7.0467
Li 3.9943 1.6222 4.4951
Li 0.9706 4.6331 6.1193
Li 1.4948 6.2143 8.8749
Li 3.5175 1.5055 9.8023
Li 1.4474 4.7498 0.8121
Li 3.4701 0.0410 1.7395
Li 0.9231 3.1685 3.5677
Si 3.4122 4.7129 4.3773
Si 0.9297 1.5852 0.9299
Si 4.0352 4.6701 9.6845
Si 1.5527 1.5425 6.2371
O 3.4852 4.7308 0.6146
O 3.9658 3.3671 3.6001
O 1.7622 4.7160 4.3600
O 3.2027 1.5393 6.2544
O 1.4526 2.9452 1.6997
O 3.4815 6.0159 8.9073
O 3.5123 3.3101 8.9147
O 4.3091 1.5885 0.9472
O 0.9991 2.8882 7.0143
O 1.4797 1.5245 9.9998
O 3.9621 4.6521 5.9218
O 0.6558 4.6668 9.6672
O 3.9350 6.0729 3.6075
O 1.0299 0.1825 7.0069
O 1.4834 0.2395 1.7071
O 1.0028 1.6032 4.6926
Zn 1.5234 3.1210 8.8678
Zn 0.9590 0.0067 3.5606
Zn 3.4415 3.1343 1.7466
Zn 4.0059 6.2487 7.0538
```



(8)
An optimized crystal structure of Li8SnO6, computed with GGA-PBEsol.

**Total magnetization**: 0.0 μB per cell
**Raw formation energy**: -1898 meV per atom

Geometry as extended XYZ:
```
15
Lattice="-3.8729 0.2546 -3.8241 1.2727 -0.8592 -5.2278 -1.7800 -5.1694 -2.4231" Properties=species:S:1:pos:R:3 pbc="T T T"
Li -1.4534 -2.5113 -7.5082
Li -0.5522 -3.9346 -5.9344
Li -1.7651 -0.5750 -6.0141
Li -3.8280 -1.8394 -5.5408
Li -2.9268 -3.2628 -3.9670
Li -3.4717 -3.5330 -7.0639
Li -0.9085 -2.2411 -4.4112
Li -2.6152 -5.1990 -5.4610
O -2.5133 -1.3065 -4.1745
O -1.8670 -4.4675 -7.3006
O -4.1849 -3.7958 -5.2468
O -1.2206 -4.2165 -4.2085
O -0.1954 -1.9783 -6.2283
O -3.1597 -1.5575 -7.2666
Sn 0.0000 0.0000 0.0000
```



(9)
An optimized crystal structure of Li2V3SnO8, computed with GGA-PBEsol.

**Total magnetization**: 2.1 μB per cell
**Raw formation energy**: -2170 meV per atom

Geometry as extended XYZ:
```
28
Lattice="-2.3749 2.8671 4.3383 -5.5716 -1.3735 1.6242 0.3806 -6.0845 7.9961" Properties=species:S:1:pos:R:3 pbc="T T T"
O -3.6988 -1.2088 2.6496
O -4.7485 0.2262 4.6672
O -1.0030 -0.7439 1.8837
O -1.8461 -2.0402 7.9879
O -3.9414 -3.4840 11.2693
O -2.1424 0.9419 3.9616
O -2.8343 -4.8197 9.2837
O -3.9045 -0.1406 7.3972
O -4.7496 -3.0833 8.7963
O -5.2967 -5.3224 10.0091
O -6.6038 -3.9032 12.1352
O -3.4831 -4.3021 6.4794
O -0.6540 -3.6472 5.7101
O -2.8286 -1.5983 5.1702
O -7.0281 -0.9950 8.2854
O -5.7368 -2.5531 5.9632
V -2.1056 -0.9914 3.5656
V -3.8245 0.5883 3.0854
V -5.8186 -3.3275 10.5586
V -5.2843 -4.5118 5.8209
V -4.5142 -4.9460 8.0343
V -3.0686 0.2150 5.4662
Sn -1.0733 -5.4019 8.5891
Sn -5.2642 -1.5799 7.6222
Li -6.3736 0.8796 5.3255
Li -2.2230 -2.8938 6.3660
Li -2.9404 -2.8320 9.6516
Li -4.7460 -1.8897 4.3275
```



(10)
An optimized crystal structure of Li4V5Sn3O16, computed with GGA-PBEsol.

**Total magnetization**: 9.0 μB per cell
**Raw formation energy**: -2019 meV per atom

Geometry as extended XYZ:
```
28
Lattice="5.9787 0.0062 -0.0154 2.9840 5.2370 -0.0158 0.0248 0.0807 9.4813" Properties=species:S:1:pos:R:3 pbc="T T T"
Sn 7.4668 4.4065 7.4342
Sn 2.9931 3.4893 2.7017
Sn 4.5204 4.4034 7.4420
O 2.9977 1.7379 3.8112
O 4.6974 2.7351 6.2010
O 2.9933 0.2098 1.4875
O 5.9866 1.8043 3.7091
O 5.9954 0.1014 6.4526
O 1.4955 1.0221 8.5068
O 4.5473 4.4368 3.7875
O 5.9836 0.1047 1.8383
O 7.2868 2.7377 6.1943
O 4.5252 1.0254 8.4987
O 5.9896 5.0789 6.1468
O 3.0081 3.6339 8.6460
O 5.9974 3.5127 8.5595
O 7.4213 4.4399 3.7802
O 4.3102 2.4422 1.4667
O 1.6714 2.4398 1.4736
V 1.5949 0.8875 2.7264
V 5.9962 1.8325 7.4253
V 2.9879 1.6698 0.1356
V 4.3967 0.8905 2.7194
V 5.9877 3.4373 4.7671
Li 5.9780 3.4137 1.0486
Li 5.9781 0.2186 0.0882
Li 5.9911 0.1557 4.6994
Li 3.0027 1.7638 5.7399
```



(11)
An optimized crystal structure of LiVSnO4, computed with GGA-PBEsol.

**Total magnetization**: 4.0 μB per cell
**Raw formation energy**: -1967 meV per atom

Geometry as extended XYZ:
```
14
Lattice="-1.2592 -5.0493 -2.5682 2.6284 -1.2612 -5.3655 4.3086 -4.3238 -0.1680" Properties=species:S:1:pos:R:3 pbc="T T T"
V 1.3142 -0.6306 -2.6827
V 0.6846 -3.1552 -3.9669
Sn -0.6296 -2.5246 -1.2841
Sn 2.8389 -5.3171 -4.0509
O 1.9907 -5.7502 -5.9182
O 1.2744 -2.5643 -2.1396
O 3.6871 -4.8841 -2.1835
O 3.0850 -7.2981 -3.4114
O 4.8394 -5.5327 -4.6079
O 2.5928 -3.3361 -4.6903
O 0.8384 -5.1016 -3.4938
O 4.4034 -8.0699 -5.9621
Li 2.8325 -3.4891 -1.0853
Li 2.8454 -7.1451 -7.0164
```



(12)
An optimized crystal structure of Li2V3SnO8, computed with GGA-PBEsol.

**Total magnetization**: 5.0 μB per cell
**Raw formation energy**: -2143 meV per atom

Geometry as extended XYZ:
```
14
Lattice="-0.5294 3.3140 -4.7021 -2.6200 -2.0713 -4.7136 -5.5250 2.1479 -1.4129" Properties=species:S:1:pos:R:3 pbc="T T T"
V -0.2647 1.6570 -2.3510
V -1.3100 -1.0357 -2.3568
V -1.5747 0.6214 -4.7078
O -5.3072 3.5204 -5.6771
O -6.2842 1.0037 -5.6824
O -2.3901 2.3868 -5.1461
O -5.0598 1.9717 -3.4797
O -1.9815 0.7752 -2.7793
O -3.6145 1.4189 -7.3488
O -6.6929 2.6154 -8.0492
O -3.3671 -0.1298 -5.1514
Li -4.8243 1.8915 -8.7698
Li -3.8500 1.4990 -2.0587
Sn -4.3372 1.6953 -5.4142
```



(13)
An optimized crystal structure of Li2V3SnO8, computed with GGA-PBEsol.

**Total magnetization**: 1.0 μB per cell
**Raw formation energy**: -2164 meV per atom

Geometry as extended XYZ:
```
14
Lattice="-4.2353 -0.2340 -3.8306 -0.3191 -4.3926 -3.6426 -4.3250 -4.0383 0.7648" Properties=species:S:1:pos:R:3 pbc="T T T"
O -2.4010 -4.2723 -3.6053
O -4.3942 -4.3825 -5.4081
O -4.2440 -2.3152 -3.6938
O -4.5399 -4.3331 -1.2787
O -6.6312 -6.4736 -5.0641
O -6.4914 -4.4409 -3.0437
O -2.1097 -2.0683 -1.8048
O -4.6869 -6.3570 -2.9571
Sn -3.2358 -3.0697 -0.4986
Li -4.4891 -4.3764 -3.2968
Li -5.5644 -5.5248 -6.3017
V -4.2193 -2.5372 -5.5385
V -2.5377 -4.3229 -5.4578
V -2.4006 -2.4367 -3.8936
```